ZrTaAu2 PBE-GGA optimized geometry; V = 163.5 Å³ per cell; calculated total energy = -6.552 eV per atom; energy of formation from the pure elements = 0.19 eV/atom
1.0
-3.826 3.826 2.793
3.826 -3.826 2.793
3.826 3.826 -2.793
Zr Ta Au
2 2 4
Direct
0.000 0.000 0.000
0.750 0.250 0.500
0.250 0.750 0.500
0.500 0.500 0.000
0.146 0.625 0.021
0.375 0.396 0.521
0.604 0.125 0.979
0.875 0.854 0.479